(1)
This record from Alexandria describes an optimized crystal structure of Pm5Tm3Se8. The functional is PBE-GGA.

Cell lengths 8.1925, 8.1925, 8.3368 Å; angles 60.57, 60.57, 60.00 degrees
Element x y z (fractional)
Se 0.2440 0.2440 0.2680
Se 0.7498 0.2378 0.2625
Se 0.2502 0.2502 0.7375
Se 0.7498 0.7498 0.2625
Se 0.7560 0.7560 0.7320
Se 0.7622 0.2502 0.7375
Se 0.2502 0.7622 0.7375
Se 0.2378 0.7498 0.2625
Tm 0.0000 0.5000 0.5000
Tm 0.0000 0.0000 0.5000
Tm 0.5000 0.0000 0.5000
Pm 0.5000 0.0000 0.0000
Pm 0.0000 0.0000 0.0000
Pm 0.5000 0.5000 0.5000
Pm 0.5000 0.5000 0.0000
Pm 0.0000 0.5000 0.0000

Summary:
E_tot in eV per atom: -5.83
Space-group type: R-3m, No. 166



(2)
This record from Alexandria describes an optimized crystal structure of NpTl2Br4O2. The functional is PBE-GGA.

Cell lengths 5.8624, 7.3116, 7.3116 Å; angles 65.55, 91.03, 91.03 degrees
Element x y z (fractional)
Br 0.7312 0.3771 0.8625
Br 0.7312 0.8625 0.3771
Br 0.2688 0.1375 0.6229
Br 0.2688 0.6229 0.1375
Np 0.5000 0.0000 0.0000
O 0.2861 0.1006 0.1006
O 0.7139 0.8994 0.8994
Tl 0.2555 0.6582 0.6582
Tl 0.7445 0.3418 0.3418

Summary:
E_tot in eV per atom: -5.28
Space-group type: C2/m, No. 12



(3)
This record from Alexandria describes an optimized crystal structure of PmPr4Rh2. The functional is PBE-GGA.

Cell lengths 6.6493, 8.1215, 8.1842 Å; angles 114.03, 90.00, 90.00 degrees
Element x y z (fractional)
Pr 0.9948 0.4120 0.7697
Pr 0.2500 0.2554 0.3408
Pr 0.0052 0.5880 0.2303
Pr 0.5052 0.4120 0.7697
Pr 0.2500 0.9838 0.6188
Pr 0.7500 0.7446 0.6592
Pr 0.4948 0.5880 0.2303
Pr 0.7500 0.0162 0.3812
Pm 0.7500 0.1525 0.0294
Pm 0.2500 0.8475 0.9706
Rh 0.7500 0.3669 0.4021
Rh 0.2500 0.2292 0.9895
Rh 0.7500 0.7708 0.0105
Rh 0.2500 0.6331 0.5979

Summary:
ΔE_f in eV/atom: -0.34
Space-group type: P2_1/m, No. 11



(4)
This record from Alexandria describes an optimized crystal structure of Zr2CoHRu. The functional is PBE-GGA.

Cell lengths 4.5513, 4.5513, 3.4723 Å; angles 90.00, 90.00, 90.00 degrees
Element x y z (fractional)
H 0.0000 0.0000 0.0000
Zr 0.0000 0.5000 0.0000
Zr 0.5000 0.0000 0.0000
Co 0.5000 0.5000 0.5000
Ru 0.0000 0.0000 0.5000

Summary:
E_tot in eV per atom: -7.68
Space-group type: P4/mmm, No. 123